Entry 1:
3
Lattice="-0.595 2.511 2.234 -2.582 -1.924 -1.133 0.978 -4.332 5.130" Properties=species:S:1:pos:R:3 comment="PBEsol HgAsP, optimized geometry" formation_energy_ev_per_atom=0.11 spacegroup="P3m1, No. 156" total_energy_ev_per_atom=-3.715 pbc="T T T"
P -1.656 -1.614 1.374
As 0.073 -0.323 0.382
Hg -0.616 -1.808 4.476

Entry 2:
4
Lattice="3.332 0.000 0.000 0.000 4.720 0.000 0.000 0.000 4.720" Properties=species:S:1:pos:R:3 comment="PBEsol HgAs2P, optimized geometry" formation_energy_ev_per_atom=0.53 spacegroup="P4/mmm, No. 123" total_energy_ev_per_atom=-3.611 pbc="T T T"
As 0.000 0.000 2.360
As 0.000 2.360 0.000
Hg 1.666 2.360 2.360
P 1.666 0.000 0.000

Entry 3:
4
Lattice="-4.508 1.677 -0.299 -3.533 -2.127 2.494 -1.986 2.256 3.767" Properties=species:S:1:pos:R:3 comment="PBEsol Hg2AsP, optimized geometry" formation_energy_ev_per_atom=0.57 spacegroup="Fm-3m, No. 225" total_energy_ev_per_atom=-2.438 pbc="T T T"
As 0.000 0.000 0.000
Hg -2.507 0.452 1.490
Hg -7.520 1.355 4.471
P -5.014 0.903 2.981

Entry 4:
4
Lattice="3.853 0.000 0.000 0.000 4.164 0.000 -1.926 -2.082 6.163" Properties=species:S:1:pos:R:3 comment="PBEsol Hg2AsPb, optimized geometry" formation_energy_ev_per_atom=0.10 spacegroup="Imm2, No. 44" total_energy_ev_per_atom=-2.462 pbc="T T T"
Pb 1.926 2.082 0.658
As 0.000 2.082 2.985
Hg 1.926 2.082 5.478
Hg 1.926 0.000 3.205

Entry 5:
4
Lattice="-3.189 -2.184 1.647 3.234 1.123 2.392 -4.304 5.789 -0.657" Properties=species:S:1:pos:R:3 comment="PBEsol Hg2AsPb, optimized geometry" formation_energy_ev_per_atom=0.06 spacegroup="Cm, No. 8" total_energy_ev_per_atom=-2.503 pbc="T T T"
Pb -3.854 1.989 0.535
As -2.433 4.410 1.137
Hg -4.196 4.617 3.356
Hg -1.781 0.243 2.233

Entry 6:
4
Lattice="-2.152 1.390 -2.373 -1.573 -3.110 -0.217 -4.926 2.095 5.693" Properties=species:S:1:pos:R:3 comment="PBEsol Hg2AsPb, optimized geometry" formation_energy_ev_per_atom=0.13 spacegroup="Cmm2, No. 35" total_energy_ev_per_atom=-2.429 pbc="T T T"
Pb -2.344 0.997 2.709
As -3.048 -0.356 0.075
Hg -0.057 0.024 0.066
Hg -5.665 0.757 3.099

Entry 7:
4
Lattice="4.190 0.000 0.000 0.000 4.319 0.000 0.000 0.000 5.276" Properties=species:S:1:pos:R:3 comment="PBEsol Hg2AsPb, optimized geometry" formation_energy_ev_per_atom=0.14 spacegroup="Pmmm, No. 47" total_energy_ev_per_atom=-2.419 pbc="T T T"
Pb 2.095 0.000 2.638
As 0.000 2.160 2.638
Hg 0.000 0.000 0.000
Hg 2.095 2.160 0.000

Entry 8:
4
Lattice="-3.059 -0.995 2.756 -3.379 -2.204 -1.291 0.899 -6.553 1.887" Properties=species:S:1:pos:R:3 comment="PBEsol Hg2AsPb, optimized geometry" formation_energy_ev_per_atom=0.12 spacegroup="R-3m, No. 166" total_energy_ev_per_atom=-2.442 pbc="T T T"
Pb -2.769 -4.876 1.676
As 0.000 0.000 0.000
Hg -1.504 -2.223 0.783
Hg -4.034 -7.529 2.569

Entry 9:
5
Lattice="4.652 0.000 0.000 0.000 5.699 0.000 0.000 0.000 5.699" Properties=species:S:1:pos:R:3 comment="PBEsol HgAsPb2S, optimized geometry" spacegroup="P4/mmm, No. 123" total_energy_ev_per_atom=-2.933 pbc="T T T"
Pb 0.000 0.000 2.849
Pb 0.000 2.849 0.000
As 2.326 2.849 2.849
S 2.326 0.000 0.000
Hg 0.000 0.000 0.000

Entry 10:
5
Lattice="-4.448 2.959 -0.562 -2.543 -4.236 -2.179 -1.643 -1.538 4.908" Properties=species:S:1:pos:R:3 comment="PBEsol HgAs2PbSe, optimized geometry" spacegroup="P4/mmm, No. 123" total_energy_ev_per_atom=-2.765 pbc="T T T"
Pb 0.000 0.000 0.000
As -0.822 -0.769 2.454
As -1.272 -2.118 -1.089
Hg -4.317 -1.407 1.084
Se -2.224 1.480 -0.281

Entry 11:
7
Lattice="-3.382 -2.100 0.151 2.041 -3.341 -0.740 0.908 -0.968 6.878" Properties=species:S:1:pos:R:3 comment="PBEsol HgAsPd5, optimized geometry" formation_energy_ev_per_atom=-0.32 spacegroup="P4/mmm, No. 123" total_energy_ev_per_atom=-5.390 pbc="T T T"
As 0.454 -0.484 3.439
Hg -0.671 -2.720 -0.294
Pd 1.285 -1.952 1.633
Pd 1.664 -2.356 4.505
Pd -1.427 -1.332 2.078
Pd -1.047 -1.736 4.951
Pd 0.000 0.000 0.000

Entry 12:
5
Lattice="-2.562 -3.367 -2.862 -1.625 -2.358 4.230 -4.109 3.032 0.111" Properties=species:S:1:pos:R:3 comment="PBEsol Hg3AsPt, optimized geometry" formation_energy_ev_per_atom=0.54 spacegroup="Pm-3m, No. 221" total_energy_ev_per_atom=-2.216 pbc="T T T"
As -4.148 -1.347 0.740
Hg -0.813 -1.179 2.115
Hg -2.055 1.516 0.056
Hg -1.281 -1.684 -1.431
Pt 0.000 0.000 0.000

Entry 13:
4
Lattice="-1.585 0.846 2.381 -3.327 -3.233 -1.065 2.212 -3.232 2.897" Properties=species:S:1:pos:R:3 comment="PBEsol HgAsPt2, optimized geometry" formation_energy_ev_per_atom=0.00 spacegroup="Pm, No. 6" total_energy_ev_per_atom=-4.898 pbc="T T T"
As 0.043 -0.969 2.806
Hg -0.190 -3.928 1.882
Pt -0.132 -0.032 0.509
Pt -2.107 -1.881 1.655

Entry 14:
4
Lattice="2.819 0.000 0.000 0.000 3.420 0.000 0.000 0.000 8.028" Properties=species:S:1:pos:R:3 comment="PBEsol HgAs2Pt, optimized geometry" formation_energy_ev_per_atom=0.02 spacegroup="Pmmm, No. 47" total_energy_ev_per_atom=-4.419 pbc="T T T"
As 0.000 0.000 5.567
As 0.000 0.000 2.461
Hg 1.410 1.710 0.000
Pt 1.410 1.710 4.014

Entry 15:
4
Lattice="-0.561 -1.537 2.423 0.589 -2.448 -1.486 8.601 0.621 2.386" Properties=species:S:1:pos:R:3 comment="PBEsol Hg2AsPt, optimized geometry" formation_energy_ev_per_atom=0.21 spacegroup="Cmmm, No. 65" total_energy_ev_per_atom=-3.091 pbc="T T T"
As 0.014 -1.993 0.468
Hg 2.360 0.170 0.655
Hg 6.241 0.451 1.731
Pt 4.315 -1.682 1.661

Entry 16:
4
Lattice="2.921 0.000 0.000 0.000 5.178 0.000 -1.460 -2.589 5.049" Properties=species:S:1:pos:R:3 comment="PBEsol Hg2AsPt, optimized geometry" formation_energy_ev_per_atom=0.19 spacegroup="Immm, No. 71" total_energy_ev_per_atom=-3.107 pbc="T T T"
As 0.000 2.589 0.000
Hg 1.460 2.589 2.661
Hg 0.000 0.000 2.387
Pt 1.460 0.000 0.000

Entry 17:
4
Lattice="-0.305 3.024 -0.042 -2.312 -1.748 0.933 4.542 0.560 7.242" Properties=species:S:1:pos:R:3 comment="PBEsol HgAsPt2, optimized geometry" formation_energy_ev_per_atom=-0.04 spacegroup="C2/m, No. 12" total_energy_ev_per_atom=-4.939 pbc="T T T"
As -0.153 1.512 -0.021
Hg 2.271 0.280 3.621
Pt 2.094 1.823 6.038
Pt -0.169 0.012 2.095

Entry 18:
4
Lattice="-2.019 -4.239 0.000 0.274 -2.731 3.810 -3.824 -0.779 2.611" Properties=species:S:1:pos:R:3 comment="PBEsol HgAs2Pt, optimized geometry" formation_energy_ev_per_atom=0.32 spacegroup="F-43m, No. 216" total_energy_ev_per_atom=-4.117 pbc="T T T"
As 0.000 0.000 0.000
As -4.177 -5.812 4.816
Hg -2.785 -3.874 3.211
Pt -1.392 -1.937 1.605

Entry 19:
5
Lattice="-4.448 -3.290 -0.372 1.680 -2.779 4.494 -2.853 3.492 3.227" Properties=species:S:1:pos:R:3 comment="PBEsol RbHgAs3, optimized geometry" formation_energy_ev_per_atom=1.72 spacegroup="Pm-3m, No. 221" total_energy_ev_per_atom=-1.661 pbc="T T T"
As 0.840 -1.390 2.247
As -1.426 1.746 1.613
As -2.224 -1.645 -0.186
Hg -2.810 -1.289 3.674
Rb 0.000 0.000 0.000

Entry 20:
5
Lattice="5.397 0.000 0.000 0.000 5.397 0.000 0.000 0.000 5.597" Properties=species:S:1:pos:R:3 comment="PBEsol RbHgAs2Ru, optimized geometry" formation_energy_ev_per_atom=2.32 spacegroup="P4/mmm, No. 123" total_energy_ev_per_atom=-2.078 pbc="T T T"
Ru 2.699 2.699 2.799
As 0.000 2.699 0.000
As 2.699 0.000 0.000
Hg 0.000 0.000 2.799
Rb 0.000 0.000 0.000

Entry 21:
5
Lattice="-1.004 -0.341 5.105 2.259 -4.698 0.130 4.825 2.351 1.106" Properties=species:S:1:pos:R:3 comment="PBEsol RbHgAs2Se, optimized geometry" spacegroup="P4/mmm, No. 123" total_energy_ev_per_atom=-2.764 pbc="T T T"
As 1.129 -2.349 0.065
As -0.502 -0.171 2.553
Se 2.412 1.175 0.553
Hg 0.000 0.000 0.000
Rb 3.040 -1.344 3.170

Entry 22:
4
Lattice="3.150 0.000 0.000 1.575 2.728 0.000 1.575 0.909 8.491" Properties=species:S:1:pos:R:3 comment="PBEsol HgAs2Rh, optimized geometry" formation_energy_ev_per_atom=0.05 spacegroup="R3m, No. 160" total_energy_ev_per_atom=-4.683 pbc="T T T"
As 4.724 2.728 0.298
As 4.724 2.728 6.539
Rh 1.575 0.909 1.858
Hg 3.150 1.818 4.042

Entry 23:
4
Lattice="-2.218 3.471 -0.400 -3.450 -2.251 -0.402 -0.540 0.115 3.991" Properties=species:S:1:pos:R:3 comment="PBEsol HgAs2Rh, optimized geometry" formation_energy_ev_per_atom=0.26 spacegroup="P4/mmm, No. 123" total_energy_ev_per_atom=-4.473 pbc="T T T"
As -1.725 -1.125 -0.201
As -1.109 1.736 -0.200
Rh -0.270 0.058 1.996
Hg -3.104 0.668 1.594

Entry 24:
5
Lattice="-1.307 3.600 -2.327 -2.911 -2.532 -2.281 -3.147 0.846 3.077" Properties=species:S:1:pos:R:3 comment="PBEsol HgAsRh3, optimized geometry" formation_energy_ev_per_atom=0.38 spacegroup="Pm-3m, No. 221" total_energy_ev_per_atom=-5.637 pbc="T T T"
As 0.000 0.000 0.000
Rh -1.455 -1.266 -1.140
Rh -1.573 0.423 1.538
Rh -0.654 1.800 -1.164
Hg -3.682 0.957 -0.766

Entry 25:
4
Lattice="2.900 0.000 0.000 0.000 4.719 0.000 -1.450 -2.359 5.384" Properties=species:S:1:pos:R:3 comment="PBEsol HgAs2Rh, optimized geometry" formation_energy_ev_per_atom=-0.03 spacegroup="Immm, No. 71" total_energy_ev_per_atom=-4.763 pbc="T T T"
As 1.450 2.359 2.079
As 0.000 0.000 3.304
Rh 0.000 2.359 0.000
Hg 1.450 0.000 0.000

Entry 26:
4
Lattice="3.132 0.000 0.000 0.000 4.997 0.005 0.000 -1.942 4.604" Properties=species:S:1:pos:R:3 comment="PBEsol Hg2AsRh, optimized geometry" formation_energy_ev_per_atom=0.26 spacegroup="Cmmm, No. 65" total_energy_ev_per_atom=-3.339 pbc="T T T"
As 1.566 1.527 2.304
Rh 1.566 0.000 0.000
Hg 0.000 2.498 0.002
Hg 0.000 -0.971 2.302

Entry 27:
4
Lattice="-1.615 0.244 -3.014 1.423 -2.475 -0.962 -4.810 -2.599 4.317" Properties=species:S:1:pos:R:3 comment="PBEsol HgAsRh2, optimized geometry" formation_energy_ev_per_atom=-0.11 spacegroup="Cm, No. 8" total_energy_ev_per_atom=-5.601 pbc="T T T"
As -0.565 -1.474 -1.766
Rh -4.805 -4.682 0.246
Rh -0.969 -2.507 0.317
Hg -3.762 -2.114 -0.105

Entry 28:
4
Lattice="2.938 0.000 0.000 1.469 2.545 0.000 1.469 0.848 8.255" Properties=species:S:1:pos:R:3 comment="PBEsol HgAsRu2, optimized geometry" formation_energy_ev_per_atom=0.16 spacegroup="R-3m, No. 166" total_energy_ev_per_atom=-6.340 pbc="T T T"
Ru 1.469 0.848 2.340
Ru 4.407 2.545 5.915
As 2.938 1.696 4.127
Hg 0.000 0.000 0.000

Entry 29:
4
Lattice="-2.914 0.103 -0.485 -1.700 -2.309 0.719 -2.885 3.026 8.972" Properties=species:S:1:pos:R:3 comment="PBEsol Hg2AsRu, optimized geometry" formation_energy_ev_per_atom=0.54 spacegroup="R-3m, No. 166" total_energy_ev_per_atom=-3.563 pbc="T T T"
Ru -3.750 0.410 4.603
As 0.000 0.000 0.000
Hg -1.901 0.279 2.476
Hg -5.598 0.541 6.730

Entry 30:
4
Lattice="-1.169 2.546 -0.924 -2.107 0.200 3.215 4.647 1.509 2.951" Properties=species:S:1:pos:R:3 comment="PBEsol HgAsRu2, optimized geometry" formation_energy_ev_per_atom=0.26 spacegroup="P2/m, No. 10" total_energy_ev_per_atom=-6.249 pbc="T T T"
Ru 2.892 2.826 1.720
Ru 0.585 1.230 0.307
As -1.638 1.373 1.145
Hg 1.270 0.855 3.083